This record from Alexandria via LeMat-Bulk describes DyErTm5In2 after structural relaxation. The functional is PBE-GGA.

Cell lengths 11.014, 11.014, 11.014 Å; angles 139.98, 139.98, 57.89 degrees
Fractional coordinates of all 18 atoms:
Dy: 0.250 0.750 0.500
Dy: 0.750 0.250 0.500
Er: 0.250 0.250 0.000
Er: 0.750 0.750 0.000
Tm: 0.000 0.000 0.000
Tm: 0.078 0.578 0.903
Tm: 0.175 0.078 0.500
Tm: 0.325 0.825 0.903
Tm: 0.422 0.325 0.500
Tm: 0.500 0.500 0.000
Tm: 0.578 0.675 0.500
Tm: 0.675 0.175 0.097
Tm: 0.825 0.922 0.500
Tm: 0.922 0.422 0.097
In: 0.125 0.375 0.500
In: 0.375 0.875 0.250
In: 0.625 0.125 0.750
In: 0.875 0.625 0.500

Summary:
- total magnetic moment (μB/atom) = 0.00
- space group = I4/mcm (140)
- total energy (eV per atom) = -4.086
- energy of formation (eV/f.u.) = 0.229

This record from Alexandria via LeMat-Bulk describes ScMn4Se after structural relaxation. The functional is PBE-GGA.

Cell lengths 4.860, 4.860, 4.860 Å; angles 60.00, 60.00, 60.00 degrees
Fractional coordinates of all 6 atoms:
Sc: 0.000 0.000 0.000
Mn: 0.127 0.624 0.624
Mn: 0.624 0.127 0.624
Mn: 0.624 0.624 0.127
Mn: 0.624 0.624 0.624
Se: 0.250 0.250 0.250

Summary:
- total magnetic moment (μB/atom) = 0.48
- space group = F-43m (216)
- total energy (eV per atom) = -7.556

This record from Alexandria via LeMat-Bulk describes CoSiNi2 after structural relaxation. The functional is PBE-GGA.

Cell lengths 2.556, 3.615, 4.862 Å; angles 90.00, 100.20, 90.00 degrees
Fractional coordinates of all 4 atoms:
Co: 0.000 0.000 0.000
Si: 0.000 0.000 0.500
Ni: 0.421 0.500 0.743
Ni: 0.579 0.500 0.257

Summary:
- total magnetic moment (μB/atom) = 0.43
- space group = P2/m (10)
- total energy (eV per atom) = -6.249

This record from Alexandria via LeMat-Bulk describes Li2SiMoS after structural relaxation. The functional is PBE-GGA.

Cell lengths 4.219, 4.219, 4.604 Å; angles 90.00, 90.00, 90.00 degrees
Fractional coordinates of all 5 atoms:
Li: 0.000 0.500 0.000
Li: 0.500 0.000 0.000
Si: 0.000 0.000 0.500
Mo: 0.500 0.500 0.500
S: 0.500 0.500 0.000

Summary:
- total magnetic moment (μB/atom) = 0.22
- space group = P4/mmm (123)
- total energy (eV per atom) = -4.847

This record from Alexandria via LeMat-Bulk describes RbTiBr4 after structural relaxation. The functional is PBE-GGA.

Cell lengths 8.354, 8.354, 7.941 Å; angles 103.78, 103.78, 107.32 degrees
Fractional coordinates of all 12 atoms:
Rb: 0.148 0.852 0.750
Rb: 0.852 0.148 0.250
Ti: 0.500 0.500 0.250
Ti: 0.500 0.500 0.750
Br: 0.222 0.225 0.111
Br: 0.225 0.222 0.611
Br: 0.363 0.628 0.500
Br: 0.372 0.637 0.000
Br: 0.628 0.363 0.000
Br: 0.637 0.372 0.500
Br: 0.775 0.778 0.389
Br: 0.778 0.775 0.889

Summary:
- total magnetic moment (μB/atom) = 0.17
- space group = C2/c (15)
- excess energy over the best structure of this formula in the dataset (eV per atom) = 0.000
- total energy (eV per atom) = -3.957

This record from Alexandria via LeMat-Bulk describes SrZrTl2 after structural relaxation. The functional is PBE-GGA.

Cell lengths 3.440, 3.440, 9.175 Å; angles 90.00, 90.00, 90.00 degrees
Fractional coordinates of all 4 atoms:
Sr: 0.000 0.000 0.000
Zr: 0.000 0.000 0.500
Tl: 0.500 0.500 0.272
Tl: 0.500 0.500 0.728

Summary:
- total magnetic moment (μB/atom) = 0.00
- space group = P4/mmm (123)
- total energy (eV per atom) = -3.879
- energy of formation (eV/f.u.) = -0.555

This record from Alexandria via LeMat-Bulk describes LiTlRu2 after structural relaxation. The functional is PBE-GGA.

Cell lengths 2.847, 2.847, 9.039 Å; angles 90.00, 90.00, 115.29 degrees
Fractional coordinates of all 4 atoms:
Li: 0.000 0.000 0.000
Tl: 0.000 0.000 0.500
Ru: 0.500 0.500 0.241
Ru: 0.500 0.500 0.759

Summary:
- total magnetic moment (μB/atom) = 0.30
- space group = Cmmm (65)
- excess energy over the best structure of this formula in the dataset (eV per atom) = 0.476
- total energy (eV per atom) = -5.002
- energy of formation (eV/f.u.) = 2.825

This record from Alexandria via LeMat-Bulk describes Ba2CdAsO after structural relaxation. The functional is PBE-GGA.

Cell lengths 7.522, 4.280, 9.376 Å; angles 90.00, 110.30, 90.00 degrees
Fractional coordinates of all 10 atoms:
Ba: 0.160 0.250 0.369
Ba: 0.220 0.250 0.980
Ba: 0.780 0.750 0.020
Ba: 0.840 0.750 0.631
Cd: 0.489 0.750 0.303
Cd: 0.511 0.250 0.697
As: 0.303 0.750 0.724
As: 0.697 0.250 0.276
O: 0.151 0.750 0.162
O: 0.849 0.250 0.838

Summary:
- total magnetic moment (μB/atom) = 0.00
- space group = P2_1/m (11)
- total energy (eV per atom) = -4.139